Below is a PBEsol-optimized structure of YMnCoPb2, with properties calculated at the meta-GGA SCAN level.

Summary:
As for the space group: P4/mmm, No. 123. The raw total energy is -41.5909 eV/atom.

```
YMnCoPb2
1.0
4.676 0.000 0.000
0.000 5.680 0.000
0.000 0.000 5.680
Pb Y Mn Co
2 1 1 1
Cartesian
0.000 2.840 0.000
0.000 0.000 2.840
0.000 0.000 0.000
2.338 0.000 0.000
2.338 2.840 2.840
```